Record 1
A PBEsol-optimized structure of TlCdSe2Br, computed with SCAN.

Output
Raw formation energy (eV/atom): -0.12
Excess energy over the best structure of this formula in the dataset (eV per atom): 0.000
E_tot (eV per atom): -32.60

abc: 5.142 5.142 5.592
angles: 90.00 90.00 90.00
Fractional positions:
Tl 0.000 0.000 0.000
Cd 0.500 0.500 0.500
Se 0.000 0.500 0.500
Se 0.500 0.000 0.500
Br 0.500 0.500 0.000

Record 2
A PBEsol-optimized structure of Cd2SiBr, computed with SCAN.

Output
Raw formation energy (eV/atom): -0.01
E_tot (eV per atom): -22.59

abc: 3.745 3.745 7.271
angles: 90.00 90.00 90.00
Fractional positions:
Cd 0.000 0.000 0.000
Cd 0.500 0.500 0.405
Si 0.000 0.000 0.348
Br 0.500 0.500 0.815

Record 3
A PBEsol-optimized structure of Cd2SiBr, computed with SCAN.

Output
Raw formation energy (eV/atom): -0.01
E_tot (eV per atom): -22.59

abc: 7.577 7.577 7.577
angles: 29.31 29.31 29.31
Fractional positions:
Cd 0.238 0.238 0.238
Cd 0.762 0.762 0.762
Si 0.500 0.500 0.500
Br 0.000 0.000 0.000

Record 4
A PBEsol-optimized structure of CdSiBr, computed with SCAN.

Output
Raw formation energy (eV/atom): 0.53
E_tot (eV per atom): -19.43

abc: 4.817 4.817 3.259
angles: 90.00 90.00 120.00
Fractional positions:
Cd 0.000 0.000 0.000
Si 0.333 0.667 0.364
Br 0.667 0.333 0.568

Record 5
A PBEsol-optimized structure of CdSiTe2Br, computed with SCAN.

Output
Raw formation energy (eV/atom): 0.63
E_tot (eV per atom): -26.25

abc: 5.511 5.511 5.136
angles: 90.00 90.00 90.00
Fractional positions:
Cd 0.000 0.000 0.000
Si 0.500 0.500 0.500
Te 0.000 0.500 0.000
Te 0.500 0.000 0.000
Br 0.000 0.000 0.500

Record 6
A PBEsol-optimized structure of Cd2SnBr2, computed with SCAN.

Output
Raw formation energy (eV/atom): -0.07
E_tot (eV per atom): -27.21

abc: 6.874 6.874 6.874
angles: 139.69 139.69 58.32
Fractional positions:
Cd 0.111 0.111 0.000
Cd 0.889 0.889 0.000
Sn 0.500 0.500 0.000
Br 0.250 0.750 0.500
Br 0.750 0.250 0.500

Record 7
A PBEsol-optimized structure of Tl2CdSnBr, computed with SCAN.

Output
Raw formation energy (eV/atom): 0.12
E_tot (eV per atom): -45.98

abc: 5.832 5.832 5.561
angles: 90.00 90.00 90.00
Fractional positions:
Tl 0.000 0.500 0.000
Tl 0.500 0.000 0.000
Cd 0.000 0.000 0.500
Sn 0.500 0.500 0.000
Br 0.500 0.500 0.500

Record 8
A PBEsol-optimized structure of SrCd3Br, computed with SCAN.

Output
Raw formation energy (eV/atom): 0.28
E_tot (eV per atom): -26.32

abc: 6.349 6.349 6.349
angles: 90.00 90.00 90.00
Fractional positions:
Sr 0.000 0.000 0.000
Cd 0.000 0.000 0.500
Cd 0.000 0.500 0.000
Cd 0.500 0.000 0.000
Br 0.500 0.500 0.500

Record 9
A PBEsol-optimized structure of Ta2CdBr, computed with SCAN.

Output
Raw formation energy (eV/atom): 0.72
Excess energy over the best structure of this formula in the dataset (eV per atom): 0.056
E_tot (eV per atom): -45.04

abc: 5.866 5.866 3.069
angles: 103.82 103.82 121.78
Fractional positions:
Ta 0.000 0.500 0.000
Ta 0.500 0.000 0.000
Cd 0.000 0.000 0.000
Br 0.500 0.500 0.000

Record 10
A PBEsol-optimized structure of Ta2CdBr, computed with SCAN.

Output
Raw formation energy (eV/atom): 1.07
Excess energy over the best structure of this formula in the dataset (eV per atom): 0.407
E_tot (eV per atom): -44.69

abc: 4.770 4.770 4.770
angles: 60.00 60.00 60.00
Fractional positions:
Ta 0.000 0.000 0.000
Ta 0.250 0.250 0.250
Cd 0.500 0.500 0.500
Br 0.750 0.750 0.750

Record 11
A PBEsol-optimized structure of TaCdBr3, computed with SCAN.

Output
Raw formation energy (eV/atom): 0.66
E_tot (eV per atom): -30.41

abc: 5.283 5.283 5.283
angles: 90.00 90.00 90.00
Fractional positions:
Ta 0.000 0.000 0.000
Cd 0.500 0.500 0.500
Br 0.000 0.500 0.500
Br 0.500 0.000 0.500
Br 0.500 0.500 0.000

Record 12
A PBEsol-optimized structure of Ta2CdBr, computed with SCAN.

Output
Raw formation energy (eV/atom): 0.98
Excess energy over the best structure of this formula in the dataset (eV per atom): 0.309
E_tot (eV per atom): -44.78

abc: 4.019 4.019 4.812
angles: 90.00 90.00 90.00
Fractional positions:
Ta 0.000 0.500 0.000
Ta 0.500 0.000 0.000
Cd 0.000 0.000 0.500
Br 0.500 0.500 0.500